The following is a PBE calculation of Na3LaPd8 after structural relaxation, from the Alexandria database.

Geometry as POSCAR:
```
Na3LaPd8
1.0
5.2072 0.0000 1.5719
2.3663 4.6384 1.5719
-0.0006 -0.0003 9.4125
Pd Na La
8 3 1
Direct
0.9375 0.9375 0.6848 Pd
0.4379 0.4379 0.1885 Pd
0.9357 0.4379 0.1885 Pd
0.4402 0.9375 0.6848 Pd
0.4379 0.9357 0.1885 Pd
0.6877 0.6877 0.9368 Pd
0.9375 0.4402 0.6848 Pd
0.1874 0.1874 0.4377 Pd
0.4922 0.4922 0.5233 Na
0.3738 0.3738 0.8786 Na
0.0062 0.0062 0.9815 Na
0.8760 0.8760 0.3721 La
```

Properties
The value obtained for the formation energy is -403 meV per atom. The space group is No. 160. As for the density: 7.737 g/cm³.



The following is a PBE calculation of NaLaPd2 after structural relaxation, from the Alexandria database.

Geometry as POSCAR:
```
NaLaPd2
1.0
7.7111 0.0000 0.0000
0.0000 7.7111 0.0000
3.8555 3.8555 3.0562
La Pd Na
2 4 2
Direct
0.0000 0.0000 0.0000 La
0.7500 0.2500 0.5000 La
0.3750 0.3729 0.7500 Pd
0.1229 0.6250 0.2500 Pd
0.6271 0.1250 0.2500 Pd
0.8750 0.8771 0.7500 Pd
0.2500 0.7500 0.5000 Na
0.5000 0.5000 0.0000 Na
```

Properties
The value obtained for the formation energy is -318 meV per atom. The space group is No. 122. As for the density: 6.848 g/cm³.



The following is a PBE calculation of NaLaPd2 after structural relaxation, from the Alexandria database.

Geometry as POSCAR:
```
NaLaPd2
1.0
3.5708 0.0000 0.0000
0.0000 3.5708 0.0000
0.0000 0.0000 7.1877
Na La Pd
1 1 2
Direct
0.5000 0.5000 0.5000 Na
0.5000 0.5000 0.0000 La
0.0000 0.0000 0.2416 Pd
0.0000 0.0000 0.7584 Pd
```

Properties
The value obtained for the formation energy is -459 meV per atom. The space group is No. 123. As for the density: 6.790 g/cm³.



The following is a PBE calculation of NaLa2Pd after structural relaxation, from the Alexandria database.

Geometry as POSCAR:
```
NaLa2Pd
1.0
-7.8227 2.4629 2.5608
-3.4948 -6.4498 -4.4726
-5.4048 -4.0216 1.7703
Na La Pd
2 4 2
Direct
0.5000 0.5000 0.0000 Na
0.2500 0.7500 0.5000 Na
0.6757 0.1250 0.2500 La
0.3750 0.3243 0.7500 La
0.8750 0.9257 0.7500 La
0.0743 0.6250 0.2500 La
0.0000 0.0000 0.0000 Pd
0.7500 0.2500 0.5000 Pd
```

Properties
The value obtained for the formation energy is -82 meV per atom. The space group is No. 122. As for the density: 5.377 g/cm³. The calculation puts the offset from the most stable computed form at 0.2162 eV per atom.



The following is a PBE calculation of Na2LaPd after structural relaxation, from the Alexandria database.

Geometry as POSCAR:
```
Na2LaPd
1.0
-1.2859 2.4194 4.4554
-5.0319 0.7897 1.1890
-2.2216 -2.6958 3.8928
Na Pd La
2 1 1
Direct
0.7500 0.7500 0.7500 Na
0.2500 0.2500 0.2500 Na
0.0000 0.0000 0.0000 Pd
0.5000 0.5000 0.5000 La
```

Properties
The value obtained for the formation energy is 190 meV per atom. The space group is No. 225. As for the density: 4.781 g/cm³. The calculation puts the offset from the most stable computed form at 0.3173 eV per atom.



The following is a PBE calculation of NaLa2Pd after structural relaxation, from the Alexandria database.

Geometry as POSCAR:
```
NaLa2Pd
1.0
0.8024 1.1491 5.2292
-4.1595 1.5470 3.1007
-1.9073 -3.3225 3.8252
Pd La Na
1 2 1
Direct
0.5000 0.5000 0.5000 Pd
0.2500 0.2500 0.2500 La
0.7500 0.7500 0.7500 La
0.0000 0.0000 0.0000 Na
```

Properties
The value obtained for the formation energy is -129 meV per atom. The space group is No. 225. As for the density: 6.027 g/cm³. The calculation puts the offset from the most stable computed form at 0.1692 eV per atom.



The following is a PBE calculation of NaLaPd3 after structural relaxation, from the Alexandria database.

Geometry as POSCAR:
```
NaLaPd3
1.0
-3.7057 0.3001 3.7589
-2.7056 -3.8826 -2.3573
2.6266 -3.5759 2.8750
La Pd Na
1 3 1
Direct
0.0000 0.0000 0.0000 La
0.5000 0.0000 0.0000 Pd
0.0000 0.5000 0.0000 Pd
0.0000 0.0000 0.5000 Pd
0.5000 0.5000 0.5000 Na
```

Properties
The value obtained for the formation energy is 299 meV per atom. The space group is No. 221. As for the density: 5.407 g/cm³. The calculation puts the offset from the most stable computed form at 0.2424 eV per atom.



The following is a PBE calculation of Na2La2Pd15 after structural relaxation, from the Alexandria database.

Geometry as POSCAR:
```
Na2La2Pd15
1.0
7.0574 0.0145 0.0129
0.9300 6.9958 0.0129
0.9300 0.8162 6.9481
Na Pd La
2 15 2
Direct
0.9082 0.9082 0.9082 Na
0.0918 0.0918 0.0918 Na
0.0000 0.5000 0.0000 Pd
0.5000 0.0000 0.0000 Pd
0.6776 0.3224 0.0000 Pd
0.6776 0.0000 0.3224 Pd
0.0000 0.3224 0.6776 Pd
0.0000 0.0000 0.5000 Pd
0.3412 0.8339 0.3412 Pd
0.0000 0.6776 0.3224 Pd
0.6588 0.1661 0.6588 Pd
0.3224 0.0000 0.6776 Pd
0.3412 0.3412 0.8339 Pd
0.8339 0.3412 0.3412 Pd
0.1661 0.6588 0.6588 Pd
0.6588 0.6588 0.1661 Pd
0.3224 0.6776 0.0000 Pd
0.6536 0.6536 0.6536 La
0.3464 0.3464 0.3464 La
```

Properties
The value obtained for the formation energy is -396 meV per atom. The space group is No. 166. As for the density: 9.301 g/cm³.



The following is a PBE calculation of NaLa2Pd after structural relaxation, from the Alexandria database.

Geometry as POSCAR:
```
NaLa2Pd
1.0
4.2841 0.0000 0.0000
2.1420 3.7101 0.0000
2.1420 1.2367 9.3374
Na Pd La
1 1 2
Direct
0.5004 0.5004 0.4987 Na
0.6664 0.6664 0.0008 Pd
0.0562 0.0562 0.8315 La
0.2770 0.2770 0.1690 La
```

Properties
The value obtained for the formation energy is -278 meV per atom. The space group is No. 160. As for the density: 4.556 g/cm³. The calculation puts the offset from the most stable computed form at 0.0203 eV per atom.



The following is a PBE calculation of NaLaPd2Pt after structural relaxation, from the Alexandria database.

Geometry as POSCAR:
```
NaLaPd2Pt
1.0
5.0829 0.0000 0.0000
0.0000 4.7618 0.0000
0.0000 0.0000 5.0829
Na Pd Pt La
1 2 1 1
Direct
0.0000 0.5000 0.0000 Na
0.5000 0.0000 0.0000 Pd
0.0000 0.0000 0.5000 Pd
0.0000 0.0000 0.0000 Pt
0.5000 0.5000 0.5000 La
```

Properties
The value obtained for the formation energy is 40 meV per atom. The space group is No. 123. As for the density: 7.691 g/cm³.



The following is a PBE calculation of NaLaPdPt after structural relaxation, from the Alexandria database.

Geometry as POSCAR:
```
NaLaPdPt
1.0
-0.2955 0.9694 -4.8864
3.1855 -2.1682 -3.1711
-1.6190 -3.5174 -3.1481
La Pd Na Pt
1 1 1 1
Direct
0.5000 0.5000 0.5000 La
0.2500 0.2500 0.2500 Pd
0.0000 0.0000 0.0000 Na
0.7500 0.7500 0.7500 Pt
```

Properties
The value obtained for the formation energy is -608 meV per atom. The space group is No. 216. As for the density: 8.756 g/cm³.



The following is a PBE calculation of RbNaLa2Pd after structural relaxation, from the Alexandria database.

Geometry as POSCAR:
```
RbNaLa2Pd
1.0
-5.0108 -1.6345 2.2858
-0.1217 -3.9861 -3.1172
2.8067 -3.1408 3.9067
Pd La Na Rb
1 2 1 1
Direct
0.5000 0.5000 0.5000 Pd
0.5000 0.0000 0.0000 La
0.0000 0.0000 0.5000 La
0.0000 0.5000 0.0000 Na
0.0000 0.0000 0.0000 Rb
```

Properties
The value obtained for the formation energy is 1196 meV per atom. The space group is No. 123. As for the density: 4.897 g/cm³.



Copy entry 7 word for word.
The following is a PBE calculation of NaLaPd3 after structural relaxation, from the Alexandria database.

Geometry as POSCAR:
```
NaLaPd3
1.0
-3.7057 0.3001 3.7589
-2.7056 -3.8826 -2.3573
2.6266 -3.5759 2.8750
La Pd Na
1 3 1
Direct
0.0000 0.0000 0.0000 La
0.5000 0.0000 0.0000 Pd
0.0000 0.5000 0.0000 Pd
0.0000 0.0000 0.5000 Pd
0.5000 0.5000 0.5000 Na
```

Properties
The value obtained for the formation energy is 299 meV per atom. The space group is No. 221. As for the density: 5.407 g/cm³. The calculation puts the offset from the most stable computed form at 0.2424 eV per atom.